# 1
{
  "formula": "Pm2Sm3Mg2",
  "functional": "PBE-GGA",
  "state": "relaxed",
  "spacegroup": "No. 65",
  "mass_density_g_cm3": 5.9,
  "magnetic_moment_mub_per_cell": 0.00,
  "e_form_ev_per_atom": 0.035,
  "lattice": [[-3.797, 0.056, -0.219], [0.077, -3.052, -2.121], [1.030, -8.940, 12.897]],
  "species": ["Pm", "Pm", "Sm", "Sm", "Sm", "Mg", "Mg"],
  "frac_coords": [[0.296, 0.500, 0.591], [0.704, 0.500, 0.409], [0.420, 0.500, 0.841], [0.580, 0.500, 0.159], [0.000, 0.000, 0.000], [0.141, 0.000, 0.283], [0.859, 0.000, 0.717]]
}

# 2
{
  "formula": "Pm2Sm3Mg",
  "functional": "PBE-GGA",
  "state": "relaxed",
  "spacegroup": "No. 71",
  "mass_density_g_cm3": 6.3,
  "magnetic_moment_mub_per_cell": 0.00,
  "e_form_ev_per_atom": 0.355,
  "lattice": [[-1.109, 2.402, 2.126], [3.162, -2.669, 4.664], [6.610, 5.515, -5.493]],
  "species": ["Pm", "Pm", "Sm", "Sm", "Sm", "Mg"],
  "frac_coords": [[0.657, 0.657, 0.314], [0.343, 0.343, 0.686], [0.000, 0.500, 0.000], [0.833, 0.833, 0.666], [0.167, 0.167, 0.334], [0.000, 0.000, 0.000]]
}

# 3
{
  "formula": "PmSmMg14",
  "functional": "PBE-GGA",
  "state": "relaxed",
  "spacegroup": "No. 123",
  "mass_density_g_cm3": 2.7,
  "magnetic_moment_mub_per_cell": 0.00,
  "e_form_ev_per_atom": -0.047,
  "lattice": [[-5.609, 3.671, -1.885], [-3.874, -5.780, 0.266], [-1.646, 1.460, 7.742]],
  "species": ["Pm", "Sm", "Mg", "Mg", "Mg", "Mg", "Mg", "Mg", "Mg", "Mg", "Mg", "Mg", "Mg", "Mg", "Mg", "Mg"],
  "frac_coords": [[0.375, 0.375, 0.500], [0.875, 0.875, 0.500], [0.875, 0.875, 0.000], [0.375, 0.375, 0.000], [0.875, 0.375, 0.500], [0.875, 0.375, 0.000], [0.375, 0.875, 0.500], [0.375, 0.875, 0.000], [0.625, 0.125, 0.237], [0.625, 0.125, 0.763], [0.125, 0.625, 0.237], [0.125, 0.625, 0.763], [0.625, 0.625, 0.237], [0.625, 0.625, 0.763], [0.125, 0.125, 0.237], [0.125, 0.125, 0.763]]
}

# 4
{
  "formula": "PmSm2Mg2",
  "functional": "PBE-GGA",
  "state": "relaxed",
  "spacegroup": "No. 71",
  "mass_density_g_cm3": 5.3,
  "magnetic_moment_mub_per_cell": 0.00,
  "e_form_ev_per_atom": 0.050,
  "lattice": [[5.301, 0.000, 0.000], [2.650, 5.407, -0.342], [2.650, 1.118, 5.301]],
  "species": ["Pm", "Sm", "Sm", "Mg", "Mg"],
  "frac_coords": [[0.000, 0.000, 0.000], [0.195, 0.305, 0.305], [0.805, 0.695, 0.695], [0.500, 0.294, 0.706], [0.500, 0.706, 0.294]]
}